Y2Mg: PBEsol geometry, SCAN.

Cell: 5.453 5.453 3.184 Å, 90.00 90.00 120.00°
Fractional positions:
Y 0.333 0.667 0.000
Y 0.667 0.333 0.000
Mg 0.000 0.000 0.500

Values from the calculation:
- E (eV/atom) = -20.0903
- crystal system = hexagonal
- space-group type = P6/mmm
- energy of formation from the pure elements (kcal/mol of atoms) = 2.99